# 1
First-principles (PBE) data for a geometry-optimized CeErLuTh structure, as listed in the Alexandria database.

The space group is F-43m (No. 216) and the conventional cell measures 7.928, 7.928 and 7.928 Å, with angles of 90.00, 90.00 and 90.00 degrees. The inequivalent atoms are Ce at (0.000, 0.000, 0.000), Er at (0.000, 0.000, 0.500), Lu at (0.250, 0.250, 0.250) and Th at (0.250, 0.250, 0.750).



# 2
First-principles (PBE) data for a geometry-optimized CeErLuTl structure, as listed in the Alexandria database.

The space group is F-43m (No. 216) and the conventional cell measures 7.566, 7.566 and 7.566 Å, with angles of 90.00, 90.00 and 90.00 degrees. The inequivalent atoms are Ce at (0.000, 0.000, 0.000), Er at (0.250, 0.250, 0.750), Lu at (0.250, 0.250, 0.250) and Tl at (0.000, 0.000, 0.500).



# 3
First-principles (PBE) data for a geometry-optimized Ce2ErMg structure, as listed in the Alexandria database.

The calculation puts the energy above the most stable polymorph in this dataset at 0.0 meV per atom.

The space group is P4/mmm (No. 123) and the conventional cell measures 3.300, 3.300 and 10.361 Å, with angles of 90.00, 90.00 and 90.00 degrees. The inequivalent atoms are Ce at (0.000, 0.000, 0.243), Er at (0.500, 0.500, 0.500) and Mg at (0.500, 0.500, 0.000).



# 4
First-principles (PBE) data for a geometry-optimized Ce2ErMg structure, as listed in the Alexandria database.

The calculation puts the energy above the most stable polymorph in this dataset at 11.5 meV per atom.

The space group is P4/mmm (No. 123) and the conventional cell measures 4.704, 4.704 and 5.102 Å, with angles of 90.00, 90.00 and 90.00 degrees. The inequivalent atoms are Ce at (0.000, 0.500, 0.000), Er at (0.000, 0.000, 0.500) and Mg at (0.500, 0.500, 0.500).



# 5
First-principles (PBE) data for a geometry-optimized CeEr2Mg3 structure, as listed in the Alexandria database.

The space group is P4/mmm (No. 123) and the conventional cell measures 3.761, 3.761 and 11.485 Å, with angles of 90.00, 90.00 and 90.00 degrees. The inequivalent atoms are Ce at (0.000, 0.000, 0.000), Er at (0.000, 0.000, 0.337), Mg at (0.500, 0.500, 0.175) and Mg at (0.500, 0.500, 0.500).



# 6
First-principles (PBE) data for a geometry-optimized CeErMg2 structure, as listed in the Alexandria database.

The calculation puts the energy above the most stable polymorph in this dataset at 16.3 meV per atom.

The space group is P4/mmm (No. 123) and the conventional cell measures 5.397, 5.397 and 3.750 Å, with angles of 90.00, 90.00 and 90.00 degrees. The inequivalent atoms are Ce at (0.000, 0.000, 0.000), Er at (0.500, 0.500, 0.000) and Mg at (0.000, 0.500, 0.500).



# 7
First-principles (PBE) data for a geometry-optimized CeErMg4 structure, as listed in the Alexandria database.

The space group is F-43m (No. 216) and the conventional cell measures 8.530, 8.530 and 8.530 Å, with angles of 90.00, 90.00 and 90.00 degrees. The inequivalent atoms are Ce at (0.000, 0.000, 0.000), Er at (0.250, 0.250, 0.250) and Mg at (0.125, 0.125, 0.625).



# 8
First-principles (PBE) data for a geometry-optimized CeEr3Mg2 structure, as listed in the Alexandria database.

The space group is P4/mmm (No. 123) and the conventional cell measures 3.552, 3.552 and 13.198 Å, with angles of 90.00, 90.00 and 90.00 degrees. The inequivalent atoms are Ce at (0.000, 0.000, 0.000), Er at (0.500, 0.500, 0.179), Er at (0.500, 0.500, 0.500) and Mg at (0.000, 0.000, 0.341).



Results for E_form: 0.22; 0.05; 0.09; 0.11; -0.01; 0.01; -0.02; -0.01 (in eV per atom, following the order of the records).